--- a ---
Entry from Alexandria: crystalline DyHo8Tm2 at its relaxed geometry (PBE).

Cell: 8.979 16.379 5.842 Å, 90.00 126.49 90.00°
Space group C2/m (No. 12)
Unique sites:
Dy1 0.000 0.000 0.000 (multiplicity 2)
Ho1 0.000 0.204 0.000 (multiplicity 4)
Ho2 0.055 0.500 0.788 (multiplicity 4)
Ho3 0.221 0.124 0.697 (multiplicity 8)
Tm1 0.000 0.311 0.500 (multiplicity 4)

Output
The value obtained for the density of states at the Fermi level is 29.158 states/eV/cell.

---

--- b ---
Entry from Alexandria: crystalline DyHo8Tm2 at its relaxed geometry (PBE).

Cell: 16.991 6.679 6.425 Å, 90.00 110.02 90.00°
Space group C2/m (No. 12)
Unique sites:
Dy1 0.000 0.000 0.000 (multiplicity 2)
Ho1 0.057 0.500 0.248 (multiplicity 4)
Ho2 0.103 0.236 0.689 (multiplicity 8)
Ho3 0.210 0.000 0.325 (multiplicity 4)
Tm1 0.217 0.500 0.107 (multiplicity 4)

Output
The value obtained for the density of states at the Fermi level is 29.763 states/eV/cell.

---

Q: Which of them is the most stable? A: a.

---

--- a ---
Entry from Alexandria: crystalline Dy4Ho6Tm at its relaxed geometry (PBE).

Cell: 5.642 9.544 25.406 Å, 90.00 90.00 90.00°
Space group Cmcm (No. 63)
Unique sites:
Dy1 0.000 0.027 0.121 (multiplicity 8)
Dy2 0.000 0.343 0.043 (multiplicity 8)
Ho1 0.000 0.000 0.000 (multiplicity 4)
Ho2 0.000 0.022 0.250 (multiplicity 4)
Ho3 0.000 0.311 0.605 (multiplicity 8)
Ho4 0.000 0.356 0.182 (multiplicity 8)
Tm1 0.000 0.313 0.750 (multiplicity 4)

Output
The value obtained for the density of states at the Fermi level is 77.404 states/eV/cell.

---

--- b ---
Entry from Alexandria: crystalline Dy4Ho6Tm at its relaxed geometry (PBE).

Cell: 7.463 7.463 13.175 Å, 90.00 90.00 90.00°
Space group I-42m (No. 121)
Unique sites:
Dy1 0.168 0.168 0.421 (multiplicity 8)
Ho1 0.000 0.500 0.000 (multiplicity 4)
Ho2 0.234 0.234 0.185 (multiplicity 8)
Tm1 0.000 0.000 0.000 (multiplicity 2)

Output
The value obtained for the density of states at the Fermi level is 25.204 states/eV/cell.

---

Q: Which of them is the most stable? A: a.

---

--- a ---
Entry from Alexandria: crystalline Dy4Ho5Tm2 at its relaxed geometry (PBE).

Cell: 21.282 3.613 9.124 Å, 90.00 102.70 90.00°
Space group C2/m (No. 12)
Unique sites:
Dy1 0.027 0.000 0.200 (multiplicity 4)
Dy2 0.171 0.500 0.417 (multiplicity 4)
Ho1 0.000 0.500 0.500 (multiplicity 2)
Ho2 0.118 0.000 0.699 (multiplicity 4)
Ho3 0.249 0.000 0.170 (multiplicity 4)
Tm1 0.114 0.500 0.007 (multiplicity 4)

Output
The value obtained for the density of states at the Fermi level is 34.173 states/eV/cell.

---

--- b ---
Entry from Alexandria: crystalline Dy4Ho5Tm2 at its relaxed geometry (PBE).

Cell: 3.467 8.951 22.914 Å, 90.00 90.00 90.00°
Space group Immm (No. 71)
Unique sites:
Dy1 0.000 0.000 0.097 (multiplicity 4)
Dy2 0.000 0.307 0.500 (multiplicity 4)
Ho1 0.000 0.199 0.354 (multiplicity 8)
Ho2 0.000 0.500 0.000 (multiplicity 2)
Tm1 0.000 0.000 0.231 (multiplicity 4)

Output
The value obtained for the density of states at the Fermi level is 33.721 states/eV/cell.

---

Q: Which of them is the most stable? A: a.

---

--- a ---
Entry from Alexandria: crystalline DyHo4Tm3 at its relaxed geometry (PBE).

Cell: 11.091 7.179 6.206 Å, 90.00 90.00 90.00°
Space group Pmn2_1 (No. 31)
Unique sites:
Dy1 0.000 0.124 0.000 (multiplicity 2)
Ho1 0.000 0.374 0.500 (multiplicity 2)
Ho2 0.000 0.626 0.999 (multiplicity 2)
Ho3 0.249 0.625 0.333 (multiplicity 4)
Tm1 0.000 0.876 0.500 (multiplicity 2)
Tm2 0.250 0.125 0.333 (multiplicity 4)

Output
The value obtained for the density of states at the Fermi level is 25.769 states/eV/cell.

---

--- b ---
Entry from Alexandria: crystalline DyHo4Tm3 at its relaxed geometry (PBE).

Cell: 5.543 25.767 3.526 Å, 90.00 90.00 90.00°
Space group Cmmm (No. 65)
Unique sites:
Dy1 0.000 0.000 0.000 (multiplicity 2)
Ho1 0.000 0.104 0.500 (multiplicity 4)
Ho2 0.000 0.223 0.500 (multiplicity 4)
Tm1 0.000 0.344 0.000 (multiplicity 4)
Tm2 0.000 0.500 0.500 (multiplicity 2)

Output
The value obtained for the density of states at the Fermi level is 23.112 states/eV/cell.

---

Q: Which of them is the most stable? A: a.

---

--- a ---
Entry from Alexandria: crystalline DyHoTm5 at its relaxed geometry (PBE).

Cell: 7.936 11.587 6.063 Å, 90.00 90.00 90.00°
Space group Imm2 (No. 44)
Unique sites:
Dy1 0.000 0.000 0.000 (multiplicity 2)
Ho1 0.000 0.500 0.738 (multiplicity 2)
Tm1 0.000 0.257 0.003 (multiplicity 4)
Tm2 0.000 0.500 0.260 (multiplicity 2)
Tm3 0.179 0.000 0.501 (multiplicity 4)

Output
The value obtained for the density of states at the Fermi level is 17.421 states/eV/cell.

---

--- b ---
Entry from Alexandria: crystalline DyHoTm5 at its relaxed geometry (PBE).

Cell: 11.482 6.664 12.002 Å, 90.00 109.92 90.00°
Space group C2/c (No. 15)
Unique sites:
Dy1 0.000 0.027 0.250 (multiplicity 4)
Ho1 0.250 0.250 0.000 (multiplicity 4)
Tm1 0.000 0.416 0.750 (multiplicity 4)
Tm2 0.078 0.271 0.500 (multiplicity 8)
Tm3 0.220 0.359 0.248 (multiplicity 8)

Output
The value obtained for the density of states at the Fermi level is 34.084 states/eV/cell.

---

Q: Which of them is the most stable? A: b.

---

--- a ---
Entry from Alexandria: crystalline Dy5HoTm5 at its relaxed geometry (PBE).

Cell: 18.644 5.837 6.870 Å, 90.00 111.41 90.00°
Space group C2/m (No. 12)
Unique sites:
Dy1 0.000 0.000 0.000 (multiplicity 2)
Dy2 0.178 0.500 0.933 (multiplicity 4)
Dy3 0.179 0.500 0.425 (multiplicity 4)
Ho1 0.000 0.500 0.000 (multiplicity 2)
Tm1 0.000 0.500 0.500 (multiplicity 2)
Tm2 0.123 0.000 0.624 (multiplicity 4)
Tm3 0.169 0.000 0.170 (multiplicity 4)

Output
The value obtained for the density of states at the Fermi level is 35.551 states/eV/cell.

---

--- b ---
Entry from Alexandria: crystalline Dy5HoTm5 at its relaxed geometry (PBE).

Cell: 6.770 6.880 8.221 Å, 76.01 76.75 72.43°
Space group P-1 (No. 2)
Unique sites:
Dy1 0.000 0.000 0.000 (multiplicity 1)
Dy2 0.157 0.132 0.358 (multiplicity 2)
Dy3 0.326 0.268 0.654 (multiplicity 2)
Ho1 0.000 0.500 0.000 (multiplicity 1)
Tm1 0.208 0.638 0.314 (multiplicity 2)
Tm2 0.353 0.749 0.721 (multiplicity 2)
Tm3 0.500 0.000 0.000 (multiplicity 1)

Output
The value obtained for the density of states at the Fermi level is 16.142 states/eV/cell.

---

Q: Which of them is the most stable? A: b.